10
Lattice="-0.909 -5.803 -3.455 6.724 -0.452 -1.010 0.351 -1.975 3.224" Properties=species:S:1:pos:R:3 comment="ScRh2Au2 GGA-PBE relaxed" total_energy_ev_per_atom=-5.7994 formation_energy_ev_per_atom=-0.282 pbc="T T T"
Rh 0.343 -3.759 -2.340
Rh 3.500 -5.295 -3.625
Au 0.961 -3.020 0.282
Sc 0.000 0.000 0.000
Au 5.206 -5.210 -1.522
Au 4.482 -2.230 0.382
Rh 2.315 -0.960 -0.840
Au 1.684 -6.001 -1.623
Sc 2.907 -3.128 -2.233
Rh 5.472 -2.496 -2.125

***

4
Lattice="5.379 0.000 0.000 2.432 4.798 0.000 -3.906 -2.399 2.815" Properties=species:S:1:pos:R:3 comment="Sc2RhAu GGA-PBE relaxed" total_energy_ev_per_atom=-6.5325 formation_energy_ev_per_atom=-0.710 pbc="T T T"
Au 3.906 2.399 0.000
Rh 2.690 0.000 1.408
Sc 0.000 0.000 0.000
Sc 1.216 2.399 1.408

***

4
Lattice="-3.156 1.306 0.866 -1.512 -3.528 -0.191 1.193 -0.812 5.571" Properties=species:S:1:pos:R:3 comment="Sc2RhAu GGA-PBE relaxed" total_energy_ev_per_atom=-6.4984 formation_energy_ev_per_atom=-0.675 pbc="T T T"
Au 0.547 -0.373 2.556
Rh -1.361 -1.774 4.882
Sc -1.990 -1.346 1.944
Sc 1.118 -0.761 5.221

***

What did the first record say?
10
Lattice="-0.909 -5.803 -3.455 6.724 -0.452 -1.010 0.351 -1.975 3.224" Properties=species:S:1:pos:R:3 comment="ScRh2Au2 GGA-PBE relaxed" total_energy_ev_per_atom=-5.7994 formation_energy_ev_per_atom=-0.282 pbc="T T T"
Rh 0.343 -3.759 -2.340
Rh 3.500 -5.295 -3.625
Au 0.961 -3.020 0.282
Sc 0.000 0.000 0.000
Au 5.206 -5.210 -1.522
Au 4.482 -2.230 0.382
Rh 2.315 -0.960 -0.840
Au 1.684 -6.001 -1.623
Sc 2.907 -3.128 -2.233
Rh 5.472 -2.496 -2.125